! Ag2SnO3, relaxed, DFT PBE; values from VASP
! E_tot (hartree per atom): -0.182
! DOS(E_F) (states/eV/atom): 0.5426
&SYSTEM
  ibrav = 0, nat = 24, ntyp = 3
/
ATOMIC_SPECIES
O 16.00 O.upf
Ag 107.87 Ag.upf
Sn 118.71 Sn.upf
CELL_PARAMETERS angstrom
5.749 0.000 0.000
-2.875 4.979 0.000
0.000 0.000 12.909
ATOMIC_POSITIONS crystal
O 0.281 0.334 0.338
O 0.334 0.281 0.662
O 0.666 0.947 0.338
O 0.947 0.281 0.838
O 0.947 0.666 0.662
O 0.334 0.053 0.838
O 0.053 0.719 0.338
O 0.281 0.947 0.162
O 0.719 0.053 0.662
O 0.666 0.719 0.162
O 0.053 0.334 0.162
O 0.719 0.666 0.838
Ag 0.333 0.667 0.750
Ag 0.319 0.319 0.500
Ag 0.000 0.319 0.000
Ag 0.667 0.333 0.250
Ag 0.681 0.000 0.500
Ag 0.319 0.000 0.000
Ag 0.000 0.681 0.500
Ag 0.681 0.681 0.000
Sn 0.000 0.000 0.250
Sn 0.000 0.000 0.750
Sn 0.667 0.333 0.750
Sn 0.333 0.667 0.250